Here is a relaxed structure of KPdN2F from Alexandria via LeMat-Bulk. Energies are from GGA-PBEsol.

Geometry as CIF:
```
data_KPdN2F
_cell_length_a 3.723
_cell_length_b 3.723
_cell_length_c 5.836
_cell_angle_alpha 90.00
_cell_angle_beta 90.00
_cell_angle_gamma 90.00
_space_group_name_H-M_alt 'P 4/m m m'
_space_group_IT_number 123
_space_group_name_Hall '-P 4 2'
loop_
_atom_site_label
_atom_site_fract_x
_atom_site_fract_y
_atom_site_fract_z
K1 0.000 0.000 0.000
Pd1 0.500 0.500 0.500
N1 0.000 0.500 0.500
F1 0.500 0.500 0.000
```

Summary:
Fermi-level density of states = 3.14 states/eV/f.u.
total DFT energy (no corrections) = -5.0356 eV per atom
calculated volume = 16.174 Å³ per atom
energy relative to the elements, uncorrected = 0.9 eV per formula unit


Here is a relaxed structure of KPtNF2 from Alexandria via LeMat-Bulk. Energies are from GGA-PBEsol.

Geometry as CIF:
```
data_KPtNF2
_cell_length_a 4.593
_cell_length_b 4.593
_cell_length_c 4.793
_cell_angle_alpha 90.00
_cell_angle_beta 90.00
_cell_angle_gamma 90.00
_space_group_name_H-M_alt 'P 4/m m m'
_space_group_IT_number 123
_space_group_name_Hall '-P 4 2'
loop_
_atom_site_label
_atom_site_fract_x
_atom_site_fract_y
_atom_site_fract_z
K1 0.000 0.000 0.000
Pt1 0.500 0.500 0.500
N1 0.000 0.000 0.500
F1 0.000 0.500 0.000
```

Summary:
Fermi-level density of states = 8.30 states/eV/f.u.
total DFT energy (no corrections) = -3.0703 eV per atom
calculated volume = 20.227 Å³ per atom
energy relative to the elements, uncorrected = 5.1 eV per formula unit


Here is a relaxed structure of KRuNF2 from Alexandria via LeMat-Bulk. Energies are from GGA-PBEsol.

Geometry as CIF:
```
data_KRuNF2
_cell_length_a 4.552
_cell_length_b 4.552
_cell_length_c 4.726
_cell_angle_alpha 90.00
_cell_angle_beta 90.00
_cell_angle_gamma 90.00
_space_group_name_H-M_alt 'P 4/m m m'
_space_group_IT_number 123
_space_group_name_Hall '-P 4 2'
loop_
_atom_site_label
_atom_site_fract_x
_atom_site_fract_y
_atom_site_fract_z
K1 0.000 0.000 0.000
Ru1 0.500 0.500 0.500
N1 0.000 0.000 0.500
F1 0.000 0.500 0.000
```

Summary:
Fermi-level density of states = 1.26 states/eV/f.u.
total DFT energy (no corrections) = -3.7591 eV per atom
calculated volume = 19.586 Å³ per atom
energy relative to the elements, uncorrected = 4.9 eV per formula unit


Here is a relaxed structure of KScN2F from Alexandria via LeMat-Bulk. Energies are from GGA-PBEsol.

Geometry as CIF:
```
data_KScN2F
_cell_length_a 4.322
_cell_length_b 4.322
_cell_length_c 4.168
_cell_angle_alpha 90.00
_cell_angle_beta 90.00
_cell_angle_gamma 90.00
_space_group_name_H-M_alt 'P 4/m m m'
_space_group_IT_number 123
_space_group_name_Hall '-P 4 2'
loop_
_atom_site_label
_atom_site_fract_x
_atom_site_fract_y
_atom_site_fract_z
K1 0.000 0.000 0.000
Sc1 0.500 0.500 0.500
N1 0.000 0.500 0.500
F1 0.500 0.500 0.000
```

Summary:
Fermi-level density of states = 2.77 states/eV/f.u.
total DFT energy (no corrections) = -6.0930 eV per atom
calculated volume = 15.571 Å³ per atom
energy relative to the elements, uncorrected = -3.7 eV per formula unit


Here is a relaxed structure of KSeN2F from Alexandria via LeMat-Bulk. Energies are from GGA-PBEsol.

Geometry as CIF:
```
data_KSeN2F
_cell_length_a 5.499
_cell_length_b 5.499
_cell_length_c 4.757
_cell_angle_alpha 90.00
_cell_angle_beta 90.00
_cell_angle_gamma 90.00
_space_group_name_H-M_alt 'P 4/m m m'
_space_group_IT_number 123
_space_group_name_Hall '-P 4 2'
loop_
_atom_site_label
_atom_site_fract_x
_atom_site_fract_y
_atom_site_fract_z
K1 0.000 0.000 0.000
Se1 0.500 0.500 0.500
N1 0.000 0.500 0.000
F1 0.000 0.000 0.500
```

Summary:
Fermi-level density of states = 2.52 states/eV/f.u.
total DFT energy (no corrections) = -3.0348 eV per atom
distance to the lowest polymorph of the same formula = 7.89 eV/f.u.
calculated volume = 28.764 Å³ per atom
energy relative to the elements, uncorrected = 8.8 eV per formula unit


Here is a relaxed structure of KSeN2F from Alexandria via LeMat-Bulk. Energies are from GGA-PBEsol.

Geometry as CIF:
```
data_KSeN2F
_cell_length_a 3.718
_cell_length_b 3.718
_cell_length_c 4.904
_cell_angle_alpha 90.00
_cell_angle_beta 90.00
_cell_angle_gamma 90.00
_space_group_name_H-M_alt 'P 4/m m m'
_space_group_IT_number 123
_space_group_name_Hall '-P 4 2'
loop_
_atom_site_label
_atom_site_fract_x
_atom_site_fract_y
_atom_site_fract_z
K1 0.000 0.000 0.000
Se1 0.500 0.500 0.500
N1 0.000 0.500 0.500
F1 0.500 0.500 0.000
```

Summary:
Fermi-level density of states = 1.58 states/eV/f.u.
total DFT energy (no corrections) = -4.6135 eV per atom
distance to the lowest polymorph of the same formula = 0.00 eV/f.u.
calculated volume = 13.557 Å³ per atom
energy relative to the elements, uncorrected = 0.9 eV per formula unit


Here is a relaxed structure of KTeN2F from Alexandria via LeMat-Bulk. Energies are from GGA-PBEsol.

Geometry as CIF:
```
data_KTeN2F
_cell_length_a 4.011
_cell_length_b 4.011
_cell_length_c 4.669
_cell_angle_alpha 90.00
_cell_angle_beta 90.00
_cell_angle_gamma 90.00
_space_group_name_H-M_alt 'P 4/m m m'
_space_group_IT_number 123
_space_group_name_Hall '-P 4 2'
loop_
_atom_site_label
_atom_site_fract_x
_atom_site_fract_y
_atom_site_fract_z
K1 0.000 0.000 0.000
Te1 0.500 0.500 0.500
N1 0.000 0.500 0.500
F1 0.500 0.500 0.000
```

Summary:
Fermi-level density of states = 1.36 states/eV/f.u.
total DFT energy (no corrections) = -4.7725 eV per atom
calculated volume = 15.023 Å³ per atom
energy relative to the elements, uncorrected = -0.2 eV per formula unit


Here is a relaxed structure of KTlNF2 from Alexandria via LeMat-Bulk. Energies are from GGA-PBEsol.

Geometry as CIF:
```
data_KTlNF2
_cell_length_a 4.695
_cell_length_b 4.695
_cell_length_c 4.039
_cell_angle_alpha 90.00
_cell_angle_beta 90.00
_cell_angle_gamma 90.00
_space_group_name_H-M_alt 'P 4/m m m'
_space_group_IT_number 123
_space_group_name_Hall '-P 4 2'
loop_
_atom_site_label
_atom_site_fract_x
_atom_site_fract_y
_atom_site_fract_z
K1 0.000 0.000 0.000
Tl1 0.500 0.500 0.500
N1 0.500 0.500 0.000
F1 0.000 0.500 0.500
```

Summary:
Fermi-level density of states = 1.42 states/eV/f.u.
total DFT energy (no corrections) = -4.1477 eV per atom
distance to the lowest polymorph of the same formula = 0.00 eV/f.u.
calculated volume = 17.806 Å³ per atom
energy relative to the elements, uncorrected = -4.6 eV per formula unit


Here is a relaxed structure of KTlNF2 from Alexandria via LeMat-Bulk. Energies are from GGA-PBEsol.

Geometry as CIF:
```
data_KTlNF2
_cell_length_a 4.852
_cell_length_b 4.852
_cell_length_c 4.915
_cell_angle_alpha 90.00
_cell_angle_beta 90.00
_cell_angle_gamma 90.00
_space_group_name_H-M_alt 'P 4/m m m'
_space_group_IT_number 123
_space_group_name_Hall '-P 4 2'
loop_
_atom_site_label
_atom_site_fract_x
_atom_site_fract_y
_atom_site_fract_z
K1 0.000 0.000 0.000
Tl1 0.500 0.500 0.500
N1 0.000 0.000 0.500
F1 0.000 0.500 0.000
```

Summary:
Fermi-level density of states = 0.55 states/eV/f.u.
total DFT energy (no corrections) = -3.5542 eV per atom
distance to the lowest polymorph of the same formula = 2.97 eV/f.u.
calculated volume = 23.146 Å³ per atom
energy relative to the elements, uncorrected = -1.6 eV per formula unit


Here is a relaxed structure of KNa3F from Alexandria via LeMat-Bulk. Energies are from GGA-PBEsol.

Geometry as CIF:
```
data_KNa3F
_cell_length_a 6.548
_cell_length_b 6.548
_cell_length_c 6.548
_cell_angle_alpha 90.00
_cell_angle_beta 90.00
_cell_angle_gamma 90.00
_space_group_name_H-M_alt 'P m -3 m'
_space_group_IT_number 221
_space_group_name_Hall '-P 4 2 3'
loop_
_atom_site_label
_atom_site_fract_x
_atom_site_fract_y
_atom_site_fract_z
K1 0.000 0.000 0.000
Na1 0.000 0.000 0.500
F1 0.500 0.500 0.500
```

Summary:
Fermi-level density of states = 3.85 states/eV/f.u.
total DFT energy (no corrections) = -1.3850 eV per atom
calculated volume = 56.156 Å³ per atom
energy relative to the elements, uncorrected = 0.3 eV per formula unit


- The highest total DFT energy (no corrections) belongs to which entry?
  KNa3F


- Look up the total DFT energy (no corrections) of the ninth one.
  -3.5542 eV per atom